# 1
Computed, not measured: KRbCuS2 after structural relaxation at the PBE level of DFT.

Lattice parameters (Å, degrees): 5.3012 7.4422 6.8964 90.00 90.00 90.00
Space group Pmma (No. 51)
Symmetry-distinct sites (fractional):
K  0.2500  0.0000  0.1043 (multiplicity 2)
Rb  0.2500  0.5000  0.3064 (multiplicity 2)
Cu  0.0000  0.0000  0.5000 (multiplicity 2)
S  0.2500  0.2074  0.6823 (multiplicity 4)

Values from the calculation:
* crystal system: orthorhombic
* formation energy from raw total energies: -14.33 kcal/mol of atoms
* energy: -35.05 eV per cell
* calculated volume: 27.21 Å³/atom
* total magnetization: 0.00 μB per cell

# 2
Computed, not measured: LaSm3Rh4 after structural relaxation at the PBE level of DFT.

Lattice parameters (Å, degrees): 4.9788 4.9788 24.4616 90.00 90.00 120.00
Space group R-3m (No. 166, hexagonal axes)
Symmetry-distinct sites (fractional):
La  0.0000  0.0000  0.0000 (multiplicity 3)
Sm  0.0000  0.0000  0.2487 (multiplicity 6)
Sm  0.0000  0.0000  0.5000 (multiplicity 3)
Rh  0.0000  0.0000  0.1261 (multiplicity 6)
Rh  0.0000  0.0000  0.3763 (multiplicity 6)

Values from the calculation:
* crystal system: trigonal
* energy of formation from the pure elements: -0.70 eV/atom
* energy: -162.30 eV per cell
* calculated volume: 21.88 Å³/atom
* total magnetization: 0.00 μB per cell

# 3
Computed, not measured: Y2BrCl after structural relaxation at the PBE level of DFT.

Lattice parameters (Å, degrees): 3.6852 4.7724 6.1354 90.00 93.85 90.00
Space group P2/m (No. 10)
Symmetry-distinct sites (fractional):
Y  0.2387  0.0000  0.2459 (multiplicity 2)
Br  0.5000  0.5000  0.5000 (multiplicity 1)
Cl  0.0000  0.5000  0.0000 (multiplicity 1)

Values from the calculation:
* crystal system: monoclinic
* formation energy from raw total energies: -24.09 kcal/mol of atoms
* energy: -20.63 eV per cell
* calculated volume: 26.92 Å³/atom
* E above lowest polymorph: 241.0 meV/atom
* total magnetization: 0.00 μB per cell

# 4
Computed, not measured: LiSmSb after structural relaxation at the PBE level of DFT.

Lattice parameters (Å, degrees): 4.4821 4.4821 4.1872 90.00 90.00 120.00
Space group P-6m2 (No. 187)
Symmetry-distinct sites (fractional):
Li  0.0000  0.0000  0.0000 (multiplicity 1)
Sm  0.6667  0.3333  0.5000 (multiplicity 1)
Sb  0.3333  0.6667  0.0000 (multiplicity 1)

Values from the calculation:
* crystal system: hexagonal
* formation energy from raw total energies: -18.99 kcal/mol of atoms
* energy: -13.23 eV per cell
* calculated volume: 24.28 Å³/atom
* E above lowest polymorph: 48.8 meV/atom
* total magnetization: 0.40 μB per cell

- The lowest calculated volume belongs to which entry?
  LaSm3Rh4

- calculated volume of number 3 (Y2BrCl)?
  26.92 Å³/atom

- Which value of total magnetization does entry 3 give?
  0.00 μB per cell